First-principles (GGA-PBE) data for crystalline Y2ThPaAs4 at its relaxed geometry, as listed in Alexandria via LeMat-Bulk.

Cell: 4.1570 7.1595 7.1987 Å, 70.44 90.00 90.00°
Fractional positions:
Y  0.0000  0.0000  0.0000
Y  0.5000  0.0000  0.5000
Th  0.5000  0.5000  0.0000
Pa  0.0000  0.5000  0.5000
As  0.0000  0.7535  0.7420
As  0.0000  0.2465  0.2580
As  0.5000  0.7505  0.2559
As  0.5000  0.2495  0.7441

Summary:
ρ = 7.74 g cm⁻³
ΔE_f = -133.2 kJ per mole of atoms
space group = P2/m, No. 10
raw total energy = -7.436 eV/atom

First-principles (GGA-PBE) data for crystalline Ba2Tl4InAu3 at its relaxed geometry, as listed in Alexandria via LeMat-Bulk.

Cell: 4.8516 4.8516 12.4727 Å, 90.00 90.00 90.00°
Fractional positions:
Ba  0.5000  0.0000  0.2466
Ba  0.0000  0.5000  0.7534
Tl  0.5000  0.5000  0.0000
Tl  0.0000  0.0000  0.0000
Tl  0.5000  0.0000  0.6369
Tl  0.0000  0.5000  0.3631
In  0.5000  0.5000  0.5000
Au  0.0000  0.0000  0.5000
Au  0.5000  0.0000  0.8640
Au  0.0000  0.5000  0.1360

Summary:
ρ = 10.17 g cm⁻³
ΔE_f = -34.5 kJ per mole of atoms
space group = P-4m2, No. 115
raw total energy = -2.946 eV/atom